Compound: Na3Ta2TiO9
Source: the Alexandria database
Functional: PBE
Structure: relaxed

The space group is P-3m1 (No. 164) and the conventional cell measures 5.5930, 5.5930 and 6.8530 Å, with angles of 90.00, 90.00 and 120.00 degrees. The inequivalent atoms are Na at (0.0000, 0.0000, 0.0000), Na at (0.3333, 0.6667, 0.6631), Ta at (0.3333, 0.6667, 0.1736), Ti at (0.0000, 0.0000, 0.5000), O at (0.0000, 0.5000, 0.0000) and O at (0.1654, 0.3307, 0.3352).

As for the formation energy without anion corrections: -2.50 eV/atom. The value obtained for the density of states at the Fermi level is 8.2 states/eV/cell. The calculation puts the total magnetization at 0.0 μB per formula unit. For the total energy, the calculation gives -7.847 eV per atom.